A:
The following is a DFT calculation (PBE) of a relaxed Li2HgTe crystal.

a b c (Å): 5.5289 5.5289 4.4833
angles (deg): 90.58 90.58 42.88
Fractional coordinates of all 4 atoms:
Li  0.0000  0.0000  0.0000
Li  0.2292  0.2292  0.5131
Hg  0.4863  0.4863  0.4994
Te  0.7161  0.7161  0.0099

---

B:
The following is a DFT calculation (PBE) of a relaxed Li2HgTe crystal.

a b c (Å): 7.4118 7.4118 7.4118
angles (deg): 35.19 35.19 35.19
Fractional coordinates of all 4 atoms:
Li  0.0000  0.0000  0.0000
Li  0.2465  0.2465  0.2465
Hg  0.4334  0.4334  0.4334
Te  0.6213  0.6213  0.6213

---

C:
The following is a DFT calculation (PBE) of a relaxed Li2HgTe crystal.

a b c (Å): 4.1021 4.1021 5.5401
angles (deg): 90.00 90.00 90.00
Fractional coordinates of all 4 atoms:
Li  0.0000  0.0000  0.0000
Li  0.5000  0.5000  0.3599
Hg  0.5000  0.5000  0.8622
Te  0.0000  0.0000  0.4940

---

We find B to be the most stable, with the next structure 0.059 eV/atom higher.

---

A:
The following is a DFT calculation (PBE) of a relaxed Li2HgTe crystal.

a b c (Å): 5.0174 5.0174 5.0174
angles (deg): 60.00 60.00 60.00
Fractional coordinates of all 4 atoms:
Li  0.2500  0.2500  0.2500
Li  0.7500  0.7500  0.7500
Hg  0.0000  0.0000  0.0000
Te  0.5000  0.5000  0.5000

---

B:
The following is a DFT calculation (PBE) of a relaxed Li2HgTe crystal.

a b c (Å): 4.5047 4.5047 6.5890
angles (deg): 110.14 110.14 59.89
Fractional coordinates of all 4 atoms:
Li  0.2189  0.2189  0.1546
Li  0.7811  0.7811  0.8454
Hg  0.0000  0.0000  0.5000
Te  0.5000  0.5000  0.0000

---

We find B to be the most stable, with the next structure 0.013 eV/atom higher.

---

A:
The following is a DFT calculation (PBE) of a relaxed Li2HgTe crystal.

a b c (Å): 3.1709 4.0098 6.8250
angles (deg): 90.00 90.90 90.00
Fractional coordinates of all 4 atoms:
Li  0.0051  0.0000  0.2536
Li  0.9949  0.0000  0.7464
Hg  0.5000  0.5000  0.0000
Te  0.5000  0.5000  0.5000

---

B:
The following is a DFT calculation (PBE) of a relaxed Li2HgTe crystal.

a b c (Å): 5.9514 5.9514 5.9514
angles (deg): 139.44 138.37 59.52
Fractional coordinates of all 4 atoms:
Li  0.0000  0.0000  0.0000
Li  0.7338  0.2338  0.5000
Hg  0.2700  0.7700  0.5000
Te  0.5237  0.5237  0.0000

---

C:
The following is a DFT calculation (PBE) of a relaxed Li2HgTe crystal.

a b c (Å): 4.7247 4.7247 3.8245
angles (deg): 90.00 90.00 90.00
Fractional coordinates of all 4 atoms:
Li  0.0000  0.5000  0.0000
Li  0.5000  0.0000  0.0000
Hg  0.0000  0.0000  0.5000
Te  0.5000  0.5000  0.5000

---

We find C to be the most stable, with the next structure 0.033 eV/atom higher.

---

A:
The following is a DFT calculation (PBE) of a relaxed Li2HgTe crystal.

a b c (Å): 8.7963 8.7963 8.7963
angles (deg): 142.08 142.08 54.70
Fractional coordinates of all 8 atoms:
Li  0.0523  0.6250  0.9273
Li  0.3750  0.3023  0.4273
Li  0.6977  0.1250  0.0727
Li  0.8750  0.9477  0.5727
Hg  0.2500  0.7500  0.5000
Hg  0.5000  0.5000  0.0000
Te  0.0000  0.0000  0.0000
Te  0.7500  0.2500  0.5000

---

B:
The following is a DFT calculation (PBE) of a relaxed Li2HgTe crystal.

a b c (Å): 5.1661 5.1661 5.1661
angles (deg): 60.00 60.00 60.00
Fractional coordinates of all 4 atoms:
Li  0.0000  0.0000  0.0000
Li  0.2500  0.2500  0.2500
Hg  0.7500  0.7500  0.7500
Te  0.5000  0.5000  0.5000

---

We find A to be the most stable, with the next structure 0.173 eV/atom higher.